#P
A plane-wave DFT calculation with PBE was carried out for a relaxed NaIBr crystal.

a b c (Å): 4.2894 4.3578 16.6623
angles (deg): 135.89 97.40 90.00
Element x y z (fractional)
Br  0.3121  0.0777  0.6241
Na  0.8217  0.6350  0.6435
Br  0.6879  0.9223  0.3759
I  0.4441  0.0701  0.8882
Na  0.1783  0.3650  0.3565
I  0.5559  0.9299  0.1118

Calculated density: 3.6 Mg/m³
Space-group type: C2/m, No. 12
Calculated volume: 213.1 Å³ per cell

***

#Q
A plane-wave DFT calculation with PBE was carried out for a relaxed NaIBr crystal.

a b c (Å): 5.4715 4.7395 4.7395
angles (deg): 120.00 90.00 90.00
Element x y z (fractional)
I  0.7141  0.6667  0.3333
Na  0.0498  0.0000  0.0000
Br  0.2361  0.3333  0.6667

Calculated density: 3.6 Mg/m³
Space-group type: P3m1, No. 156
Calculated volume: 106.4 Å³ per cell

***

Least stable structure: #Q

***

#P
A plane-wave DFT calculation with PBE was carried out for a relaxed NaIBr4 crystal.

a b c (Å): 8.6583 8.1429 9.6238
angles (deg): 100.66 103.06 121.96
Element x y z (fractional)
I  0.9427  0.1927  0.3853
Br  0.4215  0.0960  0.8292
Br  0.2048  0.8733  0.3888
Br  0.5785  0.9040  0.1708
Br  0.6840  0.5155  0.3888
I  0.0573  0.8073  0.6147
Br  0.7952  0.1267  0.6112
Na  0.4457  0.6957  0.3913
Br  0.3160  0.4845  0.6112
Br  0.0922  0.2667  0.1708
Br  0.9078  0.7333  0.8292
Na  0.5543  0.3043  0.6087

Calculated density: 3.0 Mg/m³
Space-group type: C2/c, No. 15
Calculated volume: 521.3 Å³ per cell

***

#Q
A plane-wave DFT calculation with PBE was carried out for a relaxed NaIBr4 crystal.

a b c (Å): 4.5770 7.3658 13.3223
angles (deg): 94.72 90.00 90.00
Element x y z (fractional)
Br  0.2875  0.8276  0.1434
Br  0.2125  0.3276  0.6434
Br  0.0264  0.3232  0.1141
Br  0.7125  0.1724  0.8566
Na  0.0000  0.0000  0.5000
Br  0.9736  0.6768  0.8859
I  0.5000  0.5000  0.5000
I  0.0000  0.0000  0.0000
Br  0.7875  0.6724  0.3566
Br  0.4736  0.8232  0.6141
Na  0.5000  0.5000  0.0000
Br  0.5264  0.1768  0.3859

Calculated density: 3.5 Mg/m³
Space-group type: P2_1/c, No. 14
Calculated volume: 447.6 Å³ per cell

***

Least stable structure: #Q

***

#P
A plane-wave DFT calculation with PBE was carried out for a relaxed RbNaIBr crystal.

a b c (Å): 4.7392 4.7395 8.4086
angles (deg): 106.40 90.01 119.93
Element x y z (fractional)
Rb  0.1000  0.0201  0.1354
I  0.3323  0.4823  0.8301
Na  0.5911  0.9978  0.6040
Br  0.8545  0.5306  0.4002

Calculated density: 3.4 Mg/m³
Space-group type: Cm, No. 8
Calculated volume: 154.8 Å³ per cell

***

#Q
A plane-wave DFT calculation with PBE was carried out for a relaxed RbNaIBr crystal.

a b c (Å): 5.8818 5.8818 5.8818
angles (deg): 60.00 60.00 60.00
Element x y z (fractional)
I  0.2500  0.2500  0.2500
Na  0.0000  0.0000  0.0000
Rb  0.5000  0.5000  0.5000
Br  0.7500  0.7500  0.7500

Calculated density: 3.6 Mg/m³
Space-group type: F-43m, No. 216
Calculated volume: 143.9 Å³ per cell

***

Least stable structure: #Q